(1)
An optimized crystal structure of KTcAg4, computed with PBE-GGA.

abc: 8.0052 8.0052 8.0052
angles: 90.00 90.00 90.00
Space group F-43m (No. 216)
Inequivalent atoms, fractional coordinates:
1 K 0.0000 0.0000 0.0000 x4
2 Tc 0.2500 0.2500 0.7500 x4
3 Ag 0.1246 0.1246 0.3754 x16

Computed properties:
Calculated total energy ... -3.176 eV/atom
Energy of formation from the pure elements ... 0.636 eV per atom
V ... 513.0 Å³/cell

(2)
An optimized crystal structure of KTc2Ag, computed with PBE-GGA.

abc: 2.8562 2.8562 31.5692
angles: 90.00 90.00 120.00
Space group R3m (No. 160, hexagonal axes)
Inequivalent atoms, fractional coordinates:
1 K 0.0000 0.0000 0.0000 x3
2 Tc 0.0000 0.0000 0.2385 x3
3 Tc 0.0000 0.0000 0.5085 x3
4 Ag 0.0000 0.0000 0.7628 x3

Computed properties:
Calculated total energy ... -5.573 eV/atom
Energy of formation from the pure elements ... 0.597 eV per atom
V ... 223.0 Å³/cell

(3)
An optimized crystal structure of KTc2Ag, computed with PBE-GGA.

abc: 5.4215 10.6543 2.5831
angles: 90.00 90.00 90.00
Space group Cmmm (No. 65)
Inequivalent atoms, fractional coordinates:
1 K 0.0000 0.0000 0.0000 x2
2 Tc 0.2500 0.2500 0.5000 x4
3 Ag 0.0000 0.5000 0.0000 x2

Computed properties:
Calculated total energy ... -5.017 eV/atom
Energy of formation from the pure elements ... 1.153 eV per atom
V ... 149.2 Å³/cell

(4)
An optimized crystal structure of KTc2Ag, computed with PBE-GGA.

abc: 6.7398 2.8805 9.2394
angles: 90.00 92.82 90.00
Space group Cm (No. 8)
Inequivalent atoms, fractional coordinates:
1 K 0.0000 0.0000 0.0000 x2
2 Tc 0.2250 0.0000 0.6815 x2
3 Tc 0.4738 0.0000 0.5333 x2
4 Ag 0.2571 0.5000 0.3043 x2

Computed properties:
Calculated total energy ... -5.473 eV/atom
Energy of formation from the pure elements ... 0.697 eV per atom
V ... 179.2 Å³/cell

(5)
An optimized crystal structure of KTc2Ag, computed with PBE-GGA.

abc: 5.4903 10.8583 2.6300
angles: 90.00 109.14 90.00
Space group C2/m (No. 12)
Inequivalent atoms, fractional coordinates:
1 K 0.0000 0.0000 0.0000 x2
2 Tc 0.2500 0.2500 0.5000 x4
3 Ag 0.0000 0.5000 0.0000 x2

Computed properties:
Calculated total energy ... -5.046 eV/atom
Energy of formation from the pure elements ... 1.124 eV per atom
V ... 148.1 Å³/cell

(6)
An optimized crystal structure of KTc2Ag, computed with PBE-GGA.

abc: 4.3637 4.3637 20.8038
angles: 90.00 90.00 90.00
Space group I-42d (No. 122)
Inequivalent atoms, fractional coordinates:
1 K 0.0000 0.0000 0.0000 x4
2 Tc 0.0783 0.2500 0.6250 x8
3 Ag 0.0000 0.0000 0.5000 x4

Computed properties:
Calculated total energy ... -4.837 eV/atom
Energy of formation from the pure elements ... 1.333 eV per atom
V ... 396.1 Å³/cell

(7)
An optimized crystal structure of KTc2Ag, computed with PBE-GGA.

abc: 2.6777 4.9230 11.5079
angles: 90.00 90.00 90.00
Space group Immm (No. 71)
Inequivalent atoms, fractional coordinates:
1 K 0.0000 0.0000 0.0000 x2
2 Tc 0.0000 0.5000 0.2216 x4
3 Ag 0.0000 0.0000 0.5000 x2

Computed properties:
Calculated total energy ... -5.200 eV/atom
Energy of formation from the pure elements ... 0.970 eV per atom
V ... 151.7 Å³/cell

(8)
An optimized crystal structure of KTc2Ag, computed with PBE-GGA.

abc: 3.5836 3.5836 7.5358
angles: 90.00 90.00 90.00
Space group P4/mmm (No. 123)
Inequivalent atoms, fractional coordinates:
1 K 0.0000 0.0000 0.0000 x1
2 Tc 0.5000 0.5000 0.3567 x2
3 Ag 0.0000 0.0000 0.5000 x1

Computed properties:
Calculated total energy ... -4.986 eV/atom
Energy of formation from the pure elements ... 1.184 eV per atom
V ... 96.8 Å³/cell

(9)
An optimized crystal structure of KTc2Ag, computed with PBE-GGA.

abc: 2.6791 5.5334 5.1523
angles: 90.00 95.77 90.00
Space group P2/m (No. 10)
Inequivalent atoms, fractional coordinates:
1 K 0.0000 0.0000 0.0000 x1
2 Tc 0.3495 0.5000 0.7674 x2
3 Ag 0.5000 0.0000 0.5000 x1

Computed properties:
Calculated total energy ... -5.065 eV/atom
Energy of formation from the pure elements ... 1.105 eV per atom
V ... 76.0 Å³/cell

(10)
An optimized crystal structure of KTc3Ag, computed with PBE-GGA.

abc: 4.5149 4.5149 4.5149
angles: 90.00 90.00 90.00
Space group Pm-3m (No. 221)
Inequivalent atoms, fractional coordinates:
1 K 0.0000 0.0000 0.0000 x1
2 Tc 0.0000 0.0000 0.5000 x3
3 Ag 0.5000 0.5000 0.5000 x1

Computed properties:
Calculated total energy ... -3.932 eV/atom
Energy of formation from the pure elements ... 3.077 eV per atom
V ... 92.0 Å³/cell

(11)
An optimized crystal structure of KTc2Ag, computed with PBE-GGA.

abc: 6.6102 6.6102 6.6102
angles: 90.00 90.00 90.00
Space group F-43m (No. 216)
Inequivalent atoms, fractional coordinates:
1 K 0.0000 0.0000 0.0000 x4
2 Tc 0.0000 0.0000 0.5000 x4
3 Tc 0.2500 0.2500 0.7500 x4
4 Ag 0.2500 0.2500 0.2500 x4

Computed properties:
Calculated total energy ... -4.867 eV/atom
Energy of formation from the pure elements ... 1.303 eV per atom
V ... 288.8 Å³/cell

(12)
An optimized crystal structure of KTc2Ag, computed with PBE-GGA.

abc: 2.7207 4.9230 5.5911
angles: 90.00 90.00 90.00
Space group Pmmm (No. 47)
Inequivalent atoms, fractional coordinates:
1 K 0.0000 0.0000 0.0000 x1
2 Tc 0.0000 0.5000 0.5000 x1
3 Tc 0.5000 0.0000 0.5000 x1
4 Ag 0.5000 0.5000 0.0000 x1

Computed properties:
Calculated total energy ... -5.012 eV/atom
Energy of formation from the pure elements ... 1.158 eV per atom
V ... 74.9 Å³/cell

(13)
An optimized crystal structure of KTc2Ag, computed with PBE-GGA.

abc: 6.8037 6.8037 6.8037
angles: 90.00 90.00 90.00
Space group Fm-3m (No. 225)
Inequivalent atoms, fractional coordinates:
1 K 0.0000 0.0000 0.0000 x4
2 Tc 0.2500 0.2500 0.2500 x8
3 Ag 0.0000 0.0000 0.5000 x4

Computed properties:
Calculated total energy ... -4.397 eV/atom
Energy of formation from the pure elements ... 1.773 eV per atom
V ... 314.9 Å³/cell

(14)
An optimized crystal structure of K3TcAg, computed with PBE-GGA.

abc: 6.3372 6.3372 6.3372
angles: 90.00 90.00 90.00
Space group Pm-3m (No. 221)
Inequivalent atoms, fractional coordinates:
1 K 0.0000 0.0000 0.5000 x3
2 Tc 0.0000 0.0000 0.0000 x1
3 Ag 0.5000 0.5000 0.5000 x1

Computed properties:
Calculated total energy ... -2.109 eV/atom
Energy of formation from the pure elements ... 1.193 eV per atom
V ... 254.5 Å³/cell

(15)
An optimized crystal structure of KTc3Ag, computed with PBE-GGA.

abc: 5.1553 5.1553 5.1553
angles: 90.00 90.00 90.00
Space group Pm-3m (No. 221)
Inequivalent atoms, fractional coordinates:
1 K 0.0000 0.0000 0.0000 x1
2 Tc 0.0000 0.5000 0.5000 x3
3 Ag 0.5000 0.5000 0.5000 x1

Computed properties:
Calculated total energy ... -4.694 eV/atom
Energy of formation from the pure elements ... 2.315 eV per atom
V ... 137.0 Å³/cell

(16)
An optimized crystal structure of KTc2Ag, computed with PBE-GGA.

abc: 3.7204 3.7529 10.5410
angles: 90.00 90.00 90.00
Space group Cmmm (No. 65)
Inequivalent atoms, fractional coordinates:
1 K 0.0000 0.0000 0.0000 x2
2 Tc 0.0000 0.5000 0.2821 x4
3 Ag 0.0000 0.0000 0.5000 x2

Computed properties:
Calculated total energy ... -5.173 eV/atom
Energy of formation from the pure elements ... 0.997 eV per atom
V ... 147.2 Å³/cell

(17)
An optimized crystal structure of KTc2Ag, computed with PBE-GGA.

abc: 3.7883 3.7883 10.7347
angles: 90.00 90.00 90.00
Space group I4/mmm (No. 139)
Inequivalent atoms, fractional coordinates:
1 K 0.0000 0.0000 0.0000 x2
2 Tc 0.0000 0.5000 0.2500 x4
3 Ag 0.0000 0.0000 0.5000 x2

Computed properties:
Calculated total energy ... -4.824 eV/atom
Energy of formation from the pure elements ... 1.347 eV per atom
V ... 154.1 Å³/cell

(18)
An optimized crystal structure of KTc2Ag, computed with PBE-GGA.

abc: 2.6732 4.7875 7.1477
angles: 90.00 90.00 90.00
Space group Pmmm (No. 47)
Inequivalent atoms, fractional coordinates:
1 K 0.0000 0.0000 0.0000 x1
2 Tc 0.5000 0.5000 0.3466 x2
3 Ag 0.0000 0.0000 0.5000 x1

Computed properties:
Calculated total energy ... -5.244 eV/atom
Energy of formation from the pure elements ... 0.926 eV per atom
V ... 91.5 Å³/cell

(19)
An optimized crystal structure of KTc2Ag, computed with PBE-GGA.

abc: 3.7909 3.7909 5.2943
angles: 90.00 90.00 90.00
Space group P4/mmm (No. 123)
Inequivalent atoms, fractional coordinates:
1 K 0.0000 0.0000 0.0000 x1
2 Tc 0.0000 0.5000 0.5000 x2
3 Ag 0.5000 0.5000 0.0000 x1

Computed properties:
Calculated total energy ... -4.853 eV/atom
Energy of formation from the pure elements ... 1.317 eV per atom
V ... 76.1 Å³/cell

(20)
An optimized crystal structure of KTc2Ag, computed with PBE-GGA.

abc: 3.0443 3.0443 8.9718
angles: 90.00 90.00 90.00
Space group P4mm (No. 99)
Inequivalent atoms, fractional coordinates:
1 K 0.0000 0.0000 0.0000 x1
2 Tc 0.0000 0.0000 0.4627 x1
3 Tc 0.5000 0.5000 0.3178 x1
4 Ag 0.5000 0.5000 0.6911 x1

Computed properties:
Calculated total energy ... -5.631 eV/atom
Energy of formation from the pure elements ... 0.539 eV per atom
V ... 83.2 Å³/cell